{"formula": "NaIn2CuTe4", "functional": "GGA-PBE", "state": "relaxed", "dft_energy_ev_per_cell": -26.31, "lattice": [[3.714, 4.856, 5.096], [-5.337, 2.851, 5.170], [1.629, -7.439, -2.311]], "species": ["Na", "Te", "Te", "Te", "Te", "In", "In", "Cu"], "fractional_positions": [[0.500, 0.500, 0.000], [0.088, 0.609, 0.969], [0.881, 0.912, 0.521], [0.639, 0.119, 0.031], [0.391, 0.361, 0.479], [0.000, 0.000, 0.000], [0.250, 0.750, 0.500], [0.750, 0.250, 0.500]]}

***

{"formula": "NpFe3", "functional": "GGA-PBE", "state": "relaxed", "dft_energy_ev_per_cell": -37.00, "lattice": [[-1.896, 1.896, 3.715], [1.896, -1.896, 3.715], [1.896, 1.896, -3.715]], "species": ["Fe", "Fe", "Fe", "Np"], "fractional_positions": [[0.250, 0.750, 0.500], [0.500, 0.500, 0.000], [0.750, 0.250, 0.500], [0.000, 0.000, 0.000]]}

***

{"formula": "SrZnHgS3", "functional": "GGA-PBE", "state": "relaxed", "polymorph_energy_mev_per_atom": 0, "lattice": [[-1.307, -6.374, -1.928], [-0.362, -6.510, 1.881], [-10.669, 1.372, 2.696]], "species": ["S", "S", "S", "S", "S", "S", "Zn", "Zn", "Sr", "Sr", "Hg", "Hg"], "fractional_positions": [[0.371, 0.371, 0.080], [0.629, 0.629, 0.580], [0.086, 0.086, 0.250], [0.629, 0.629, 0.920], [0.914, 0.914, 0.750], [0.371, 0.371, 0.420], [0.480, 0.480, 0.250], [0.520, 0.520, 0.750], [0.760, 0.760, 0.250], [0.240, 0.240, 0.750], [0.000, 0.000, 0.500], [0.000, 0.000, 0.000]]}

***

{"formula": "LaTaO3", "functional": "GGA-PBE", "state": "relaxed", "dft_energy_ev_per_cell": -89.08, "lattice": [[-0.883, -3.590, -4.322], [-3.661, 1.369, -4.132], [2.299, 1.497, -5.456]], "species": ["O", "O", "O", "O", "O", "O", "La", "La", "Ta", "Ta"], "fractional_positions": [[0.569, 0.200, 0.287], [0.200, 0.944, 0.287], [0.800, 0.056, 0.713], [0.431, 0.800, 0.713], [0.944, 0.569, 0.287], [0.056, 0.431, 0.713], [0.643, 0.643, 0.072], [0.357, 0.357, 0.928], [0.162, 0.162, 0.513], [0.838, 0.838, 0.487]]}

***

{"formula": "CuAg9", "functional": "GGA-PBE", "state": "relaxed", "polymorph_energy_mev_per_atom": 7, "lattice": [[-14.158, -14.500, -11.537], [-13.966, -16.257, -9.190], [-16.025, -14.164, -9.294]], "species": ["Ag", "Ag", "Ag", "Ag", "Ag", "Ag", "Ag", "Ag", "Ag", "Cu"], "fractional_positions": [[0.303, 0.303, 0.303], [0.099, 0.099, 0.099], [0.398, 0.398, 0.398], [0.201, 0.201, 0.201], [0.697, 0.697, 0.697], [0.602, 0.602, 0.602], [0.799, 0.799, 0.799], [0.500, 0.500, 0.500], [0.901, 0.901, 0.901], [0.000, 0.000, 0.000]]}

***

{"formula": "PrHoSn", "functional": "GGA-PBE", "state": "relaxed", "dft_energy_ev_per_cell": -14.57, "lattice": [[-0.046, -5.178, 0.789], [-4.556, -2.525, 0.551], [-1.688, -3.210, -3.778]], "species": ["Sn", "Pr", "Ho"], "fractional_positions": [[0.750, 0.750, 0.750], [0.500, 0.500, 0.500], [0.000, 0.000, 0.000]]}

***

{"formula": "CsNi3As5", "functional": "GGA-PBE", "state": "relaxed", "dft_energy_ev_per_cell": -43.01, "lattice": [[-3.693, -3.187, -1.501], [4.568, -1.838, 1.343], [-2.724, -0.734, 8.259]], "species": ["Ni", "Ni", "Ni", "As", "As", "As", "As", "As", "Cs"], "fractional_positions": [[0.500, 0.500, 0.500], [0.000, 0.500, 0.500], [0.500, 0.000, 0.500], [0.333, 0.667, 0.280], [0.667, 0.333, 0.720], [0.333, 0.667, 0.720], [0.000, 0.000, 0.500], [0.667, 0.333, 0.280], [0.000, 0.000, 0.000]]}

***

{"formula": "ZrCuPt2", "functional": "GGA-PBE", "state": "relaxed", "dft_energy_ev_per_cell": -26.58, "lattice": [[0.000, 3.204, 3.204], [3.204, 0.000, 3.204], [3.204, 3.204, 0.000]], "species": ["Pt", "Pt", "Cu", "Zr"], "fractional_positions": [[0.750, 0.750, 0.750], [0.000, 0.000, 0.000], [0.250, 0.250, 0.250], [0.500, 0.500, 0.500]]}

***

{"formula": "Li2Sc2In2CuIr", "functional": "GGA-PBE", "state": "relaxed", "dft_energy_ev_per_cell": -38.22, "lattice": [[-0.013, -4.375, 1.361], [1.629, -1.277, -4.088], [6.080, 0.671, 2.213]], "species": ["Li", "Li", "In", "In", "Ir", "Sc", "Sc", "Cu"], "fractional_positions": [[0.500, 0.500, 0.000], [0.000, 0.000, 0.500], [0.000, 0.500, 0.755], [0.500, 0.000, 0.245], [0.500, 0.500, 0.500], [0.500, 0.000, 0.740], [0.000, 0.500, 0.260], [0.000, 0.000, 0.000]]}

***

{"formula": "ErTaN2O", "functional": "GGA-PBE", "state": "relaxed", "dft_energy_ev_per_cell": -272.61, "lattice": [[-4.634, -0.994, 3.929], [1.216, -4.102, -4.427], [7.633, -5.854, 7.521]], "species": ["N", "N", "N", "N", "N", "N", "N", "N", "N", "N", "N", "N", "Ta", "Ta", "Ta", "Ta", "Ta", "Ta", "O", "O", "O", "O", "O", "O", "Er", "Er", "Er", "Er", "Er", "Er"], "fractional_positions": [[0.000, 0.643, 0.343], [0.689, 0.689, 0.161], [0.000, 0.357, 0.843], [0.311, 0.000, 0.161], [0.000, 0.689, 0.661], [0.357, 0.357, 0.343], [0.643, 0.643, 0.843], [0.357, 0.000, 0.843], [0.643, 0.000, 0.343], [0.311, 0.311, 0.661], [0.000, 0.311, 0.161], [0.689, 0.000, 0.661], [0.333, 0.000, 0.001], [0.667, 0.000, 0.501], [0.000, 0.667, 0.501], [0.333, 0.333, 0.501], [0.667, 0.667, 0.001], [0.000, 0.333, 0.001], [0.000, 0.000, 0.482], [0.667, 0.333, 0.514], [0.333, 0.667, 0.014], [0.333, 0.667, 0.514], [0.667, 0.333, 0.014], [0.000, 0.000, 0.982], [0.667, 0.333, 0.740], [0.333, 0.667, 0.240], [0.000, 0.000, 0.271], [0.000, 0.000, 0.771], [0.667, 0.333, 0.240], [0.333, 0.667, 0.740]]}

***

{"formula": "HfSi2Ag", "functional": "GGA-PBE", "state": "relaxed", "dft_energy_ev_per_cell": -22.57, "lattice": [[-4.533, -0.647, -0.641], [-3.038, 1.829, 2.966], [-2.676, 3.533, -1.317]], "species": ["Ag", "Hf", "Si", "Si"], "fractional_positions": [[0.750, 0.750, 0.750], [0.500, 0.500, 0.500], [0.250, 0.250, 0.250], [0.000, 0.000, 0.000]]}

***

{"formula": "LaSmCd4", "functional": "GGA-PBE", "state": "relaxed", "polymorph_energy_mev_per_atom": 0, "lattice": [[3.427, 0.000, 0.000], [0.000, 5.068, 0.000], [-0.003, 0.000, 8.783]], "species": ["Cd", "Cd", "Cd", "Cd", "La", "Sm"], "fractional_positions": [[0.497, 0.000, 0.663], [0.503, 0.000, 0.337], [0.503, 0.500, 0.829], [0.497, 0.500, 0.171], [0.000, 0.000, 0.000], [0.000, 0.500, 0.500]]}

***

{"formula": "HfPOsO", "functional": "GGA-PBE", "state": "relaxed", "polymorph_energy_mev_per_atom": 458, "lattice": [[-1.621, 1.557, -3.510], [2.950, -2.310, -2.387], [-3.836, -4.614, -0.275]], "species": ["Os", "Os", "P", "P", "Hf", "Hf", "O", "O"], "fractional_positions": [[0.500, 0.142, 0.952], [0.500, 0.858, 0.452], [0.500, 0.638, 0.802], [0.500, 0.362, 0.302], [0.000, 0.693, 0.092], [0.000, 0.307, 0.592], [0.000, 0.903, 0.407], [0.000, 0.097, 0.907]]}

***

{"formula": "KCuOsSe2S", "functional": "GGA-PBE", "state": "relaxed", "dft_energy_ev_per_cell": -57.77, "lattice": [[-6.052, 4.160, 1.458], [3.160, -6.662, -1.301], [1.460, -1.108, 9.221]], "species": ["Se", "Se", "Se", "Se", "Cu", "Cu", "S", "S", "Os", "Os", "K", "K"], "fractional_positions": [[0.613, 0.387, 0.541], [0.387, 0.613, 0.459], [0.387, 0.613, 0.041], [0.613, 0.387, 0.959], [0.523, 0.477, 0.750], [0.477, 0.523, 0.250], [0.935, 0.065, 0.750], [0.065, 0.935, 0.250], [0.000, 0.000, 0.500], [0.000, 0.000, 0.000], [0.249, 0.751, 0.750], [0.751, 0.249, 0.250]]}

***

{"formula": "Ni3Mo", "functional": "GGA-PBE", "state": "relaxed", "dft_energy_ev_per_cell": -55.86, "lattice": [[-3.975, 0.614, 1.288], [-0.683, -4.965, 0.256], [1.375, 0.029, 4.232]], "species": ["Ni", "Ni", "Ni", "Ni", "Ni", "Ni", "Mo", "Mo"], "fractional_positions": [[0.500, 0.251, 0.660], [0.500, 0.500, 0.165], [0.000, 0.248, 0.340], [0.000, 0.000, 0.835], [0.500, 0.749, 0.660], [0.000, 0.752, 0.340], [0.000, 0.500, 0.844], [0.500, 0.000, 0.156]]}

***

{"formula": "LaDyGe2Ir", "functional": "GGA-PBE", "state": "relaxed", "dft_energy_ev_per_cell": -64.01, "lattice": [[5.403, -2.195, 0.000], [5.403, 2.195, 0.000], [-4.701, 0.000, 9.372]], "species": ["Ge", "Ge", "Ge", "Ge", "La", "La", "Dy", "Dy", "Ir", "Ir"], "fractional_positions": [[0.646, 0.646, 0.549], [0.491, 0.491, 0.125], [0.354, 0.354, 0.451], [0.509, 0.509, 0.875], [0.804, 0.804, 0.881], [0.196, 0.196, 0.119], [0.013, 0.013, 0.335], [0.987, 0.987, 0.665], [0.736, 0.736, 0.342], [0.264, 0.264, 0.658]]}

***

{"formula": "TaTl2", "functional": "GGA-PBE", "state": "relaxed", "polymorph_energy_mev_per_atom": 0, "lattice": [[0.000, 4.111, 4.111], [4.111, 0.000, 4.111], [4.111, 4.111, 0.000]], "species": ["Ta", "Ta", "Tl", "Tl", "Tl", "Tl"], "fractional_positions": [[0.000, 0.000, 0.000], [0.250, 0.250, 0.250], [0.125, 0.625, 0.625], [0.625, 0.125, 0.625], [0.625, 0.625, 0.625], [0.625, 0.625, 0.125]]}

***

{"formula": "FeCuPbS3", "functional": "GGA-PBE", "state": "relaxed", "dft_energy_ev_per_cell": -58.97, "lattice": [[-4.373, 4.875, -1.694], [1.026, -6.431, 1.828], [-0.763, 2.409, 8.904]], "species": ["S", "S", "S", "S", "S", "S", "Fe", "Fe", "Pb", "Pb", "Cu", "Cu"], "fractional_positions": [[0.371, 0.629, 0.955], [0.629, 0.371, 0.045], [0.629, 0.371, 0.455], [0.930, 0.070, 0.250], [0.070, 0.930, 0.750], [0.371, 0.629, 0.545], [0.000, 0.000, 0.500], [0.000, 0.000, 0.000], [0.247, 0.753, 0.250], [0.753, 0.247, 0.750], [0.467, 0.533, 0.750], [0.533, 0.467, 0.250]]}

***

{"formula": "SmAgPbSe3", "functional": "GGA-PBE", "state": "relaxed", "polymorph_energy_mev_per_atom": 1, "lattice": [[10.928, 0.000, 0.000], [0.000, 4.195, 0.000], [0.000, 0.000, 13.776]], "species": ["Se", "Se", "Se", "Se", "Se", "Se", "Se", "Se", "Se", "Se", "Se", "Se", "Pb", "Pb", "Pb", "Pb", "Ag", "Ag", "Ag", "Ag", "Sm", "Sm", "Sm", "Sm"], "fractional_positions": [[0.462, 0.250, 0.611], [0.922, 0.750, 0.400], [0.236, 0.250, 0.342], [0.736, 0.250, 0.158], [0.038, 0.750, 0.111], [0.264, 0.750, 0.842], [0.538, 0.750, 0.389], [0.764, 0.750, 0.658], [0.078, 0.250, 0.600], [0.578, 0.250, 0.900], [0.962, 0.250, 0.889], [0.422, 0.750, 0.100], [0.780, 0.750, 0.992], [0.720, 0.250, 0.492], [0.280, 0.750, 0.508], [0.220, 0.250, 0.008], [0.237, 0.750, 0.221], [0.737, 0.750, 0.279], [0.763, 0.250, 0.779], [0.263, 0.250, 0.721], [0.982, 0.250, 0.259], [0.018, 0.750, 0.741], [0.482, 0.250, 0.241], [0.518, 0.750, 0.759]]}

***

{"formula": "NiBiAu2", "functional": "GGA-PBE", "state": "relaxed", "dft_energy_ev_per_cell": -15.54, "lattice": [[0.000, 3.358, 3.358], [3.358, 0.000, 3.358], [3.358, 3.358, 0.000]], "species": ["Ni", "Au", "Au", "Bi"], "fractional_positions": [[0.250, 0.250, 0.250], [0.000, 0.000, 0.000], [0.750, 0.750, 0.750], [0.500, 0.500, 0.500]]}

***

{"formula": "TbDyCu", "functional": "GGA-PBE", "state": "relaxed", "polymorph_energy_mev_per_atom": 0, "lattice": [[0.000, 3.408, 3.408], [3.408, 0.000, 3.408], [3.408, 3.408, 0.000]], "species": ["Cu", "Dy", "Tb"], "fractional_positions": [[0.000, 0.000, 0.000], [0.250, 0.250, 0.250], [0.750, 0.750, 0.750]]}

***

{"formula": "CsLa2Cu3TeSe4", "functional": "GGA-PBE", "state": "relaxed", "dft_energy_ev_per_cell": -102.05, "lattice": [[2.166, -7.435, 0.000], [2.166, 7.435, 0.000], [0.000, 0.000, 18.723]], "species": ["Se", "Se", "Se", "Se", "Se", "Se", "Se", "Se", "Cu", "Cu", "Cu", "Cu", "Cu", "Cu", "La", "La", "La", "La", "Te", "Te", "Cs", "Cs"], "fractional_positions": [[0.056, 0.944, 0.895], [0.662, 0.338, 0.430], [0.338, 0.662, 0.930], [0.662, 0.338, 0.070], [0.944, 0.056, 0.105], [0.056, 0.944, 0.605], [0.338, 0.662, 0.570], [0.944, 0.056, 0.395], [0.915, 0.085, 0.529], [0.155, 0.845, 0.750], [0.915, 0.085, 0.971], [0.845, 0.155, 0.250], [0.085, 0.915, 0.471], [0.085, 0.915, 0.029], [0.310, 0.690, 0.415], [0.310, 0.690, 0.085], [0.690, 0.310, 0.585], [0.690, 0.310, 0.915], [0.261, 0.739, 0.250], [0.739, 0.261, 0.750], [0.552, 0.448, 0.250], [0.448, 0.552, 0.750]]}

***

{"formula": "RbZrAu", "functional": "GGA-PBE", "state": "relaxed", "polymorph_energy_mev_per_atom": 0, "lattice": [[0.000, 3.600, 3.600], [3.600, 0.000, 3.600], [3.600, 3.600, 0.000]], "species": ["Au", "Rb", "Zr"], "fractional_positions": [[0.000, 0.000, 0.000], [0.250, 0.250, 0.250], [0.750, 0.750, 0.750]]}